DFT (PBE-GGA) results for a relaxed structure of CaIn3Hg.

Properties
Uncorrected energy (eV per atom): -2.31
Energy above the lowest structure with this stoichiometry (eV per formula unit): 0.214
ΔH_f (0 K) (kJ/mol of atoms): -19.50
Fermi-level density of states (states/eV/atom): 0.4022

abc: 4.985 7.440 7.382
angles: 90.00 90.00 90.00
Space group Pmmn (No. 59, origin choice 2)
Asymmetric unit:
Ca  0.250  0.250  0.234 [2 per cell]
In  0.250  0.049  0.742 [4 per cell]
In  0.250  0.750  0.446 [2 per cell]
Hg  0.250  0.750  0.040 [2 per cell]